[1]
TbPaS2 | PBE | relaxed

Cell lengths 3.6907, 3.6907, 21.6954 Å; angles 90.00, 90.00, 120.00 degrees
With the nearest neighbours (Å) after each atom.
Space group R3m (No. 160, hexagonal axes)
Symmetry-distinct sites (fractional):
Tb 0.0000 0.0000 0.0000  6 S 2.74-2.82
Pa 0.0000 0.0000 0.1725  6 S 2.77-2.85
S 0.0000 0.0000 0.5875  3 Tb 2.74, 3 Pa 2.77
S 0.0000 0.0000 0.7521  3 Tb 2.82, 3 Pa 2.85

Computed properties:
Total DFT energy (no corrections) in eV/atom: -7.264
Polymorph energy (0 for the lowest one) in eV/atom: 0.113
Energy relative to the elements, uncorrected in eV/atom: -1.67



[2]
KRb2BaZn | PBE | relaxed

Cell lengths 7.1109, 7.1109, 6.6487 Å; angles 90.00, 90.00, 90.00 degrees
With the nearest neighbours (Å) after each atom.
Space group P4/mmm (No. 123)
Symmetry-distinct sites (fractional):
K 0.0000 0.0000 0.0000  8 Rb 4.87, 4 Ba 5.03
Rb 0.0000 0.5000 0.5000  2 Zn 3.56
Ba 0.5000 0.5000 0.0000  2 Zn 3.32
Zn 0.5000 0.5000 0.5000  2 Ba 3.32, 4 Rb 3.56

Computed properties:
Total DFT energy (no corrections) in eV/atom: -1.132
Polymorph energy (0 for the lowest one) in eV/atom: 0.000
Energy relative to the elements in eV per atom: 0.114



[3]
KAgAu2 | PBE | relaxed

Cell lengths 3.2573, 3.2573, 29.0514 Å; angles 90.00, 90.00, 120.00 degrees
With the nearest neighbours (Å) after each atom.
Space group R-3m (No. 166, hexagonal axes)
Symmetry-distinct sites (fractional):
K 0.0000 0.0000 0.0000  6 K 3.26, 6 Au 3.29
Ag 0.0000 0.0000 0.5000  6 Au 2.85
Au 0.0000 0.0000 0.2403  3 Ag 2.85

Computed properties:
Total DFT energy (no corrections) in eV/atom: -2.462
Polymorph energy (0 for the lowest one) in eV/atom: 0.249
Energy relative to the elements in eV per atom: 0.164



[4]
HfTh2Ga | PBE | relaxed

Cell lengths 3.2896, 3.2896, 34.2718 Å; angles 90.00, 90.00, 120.00 degrees
With the nearest neighbours (Å) after each atom.
Space group R-3m (No. 166, hexagonal axes)
Symmetry-distinct sites (fractional):
Hf 0.0000 0.0000 0.0000  2 Th 3.12, 6 Hf 3.29
Th 0.0000 0.0000 0.0910  1 Hf 3.12, 3 Ga 3.22, 6 Th 3.29
Ga 0.0000 0.0000 0.5000  6 Th 3.22, 6 Ga 3.29

Computed properties:
Total DFT energy (no corrections) in eV/atom: -6.712
Polymorph energy (0 for the lowest one) in eV/atom: 0.356
Energy relative to the elements in eV per atom: 0.243



[5]
KSr2Re | PBE | relaxed

Cell lengths 3.7733, 3.7733, 37.4232 Å; angles 90.00, 90.00, 120.00 degrees
With the nearest neighbours (Å) after each atom.
Space group R-3m (No. 166, hexagonal axes)
Symmetry-distinct sites (fractional):
K 0.0000 0.0000 0.0000  6 K 3.77
Sr 0.0000 0.0000 0.2246  3 Re 3.07
Re 0.0000 0.0000 0.5000  6 Sr 3.07

Computed properties:
Total DFT energy (no corrections) in eV/atom: -3.231
Polymorph energy (0 for the lowest one) in eV/atom: 0.176
Energy relative to the elements in eV per atom: 0.996



[6]
Dy2Er8Mg | PBE | relaxed

Cell lengths 16.1100, 6.5184, 6.5942 Å; angles 90.00, 101.60, 90.00 degrees
With the nearest neighbours (Å) after each atom.
Space group C2/m (No. 12)
Symmetry-distinct sites (fractional):
Dy 0.1871 0.0000 0.2963  9 Er 3.34-3.73, 1 Mg 3.54
Er 0.0815 0.2595 0.8875  1 Mg 3.13, 6 Er 3.14-3.49, 1 Dy 3.34
Er 0.0943 0.5000 0.4145  6 Er 3.25-3.53
Er 0.2458 0.0000 0.8170  5 Er 3.25-3.44, 4 Dy 3.37-3.56
Mg 0.0000 0.0000 0.5000  4 Er 3.13

Computed properties:
Total DFT energy (no corrections) in eV/atom: -4.139
Polymorph energy (0 for the lowest one) in eV/atom: 0.054
Energy relative to the elements in eV per atom: 0.161



[7]
LaVSn2Bi | PBE | relaxed

Cell lengths 5.8304, 5.8304, 5.1011 Å; angles 90.00, 90.00, 90.00 degrees
With the nearest neighbours (Å) after each atom.
Space group P4/mmm (No. 123)
Symmetry-distinct sites (fractional):
La 0.0000 0.0000 0.0000  8 Sn 3.87, 4 V 4.12
V 0.5000 0.5000 0.0000  2 Bi 2.55
Sn 0.0000 0.5000 0.5000  2 Bi 2.92
Bi 0.5000 0.5000 0.5000  2 V 2.55

Computed properties:
Total DFT energy (no corrections) in eV/atom: -4.581
Energy relative to the elements in eV per atom: 0.606



[8]
Ac2EuTl | PBE | relaxed

Cell lengths 4.1655, 4.1655, 9.1071 Å; angles 90.00, 90.00, 90.00 degrees
With the nearest neighbours (Å) after each atom.
Space group P4/mmm (No. 123)
Symmetry-distinct sites (fractional):
Ac 0.0000 0.0000 0.2166  4 Tl 3.54, 4 Eu 3.92, 1 Ac 3.95
Eu 0.5000 0.5000 0.5000  8 Ac 3.92, 4 Eu 4.17
Tl 0.5000 0.5000 0.0000  8 Ac 3.54

Computed properties:
Total DFT energy (no corrections) in eV/atom: -5.353
Polymorph energy (0 for the lowest one) in eV/atom: 0.000
Energy relative to the elements in eV per atom: -0.139